A relaxed structure of FeCu2Pd5Au2. Source: Alexandria, functional PBE.

Computed properties:
Electronic total energy ... -4.866 eV/atom
Calculated density ... 11757 kg/m3

Lattice parameters (Å, degrees): 8.9662 8.9662 3.8966 90.00 90.00 90.00
Last column: nearest neighbours and their distance in Å.
Atoms (fractional coordinates):
Fe  0.0000  0.0000  0.0000  8 Pd 2.71
Fe  0.5000  0.5000  0.0000  8 Pd 2.71
Cu  0.1247  0.3753  0.0000  6 Pd 2.51-2.56, 3 Au 2.59-2.69
Cu  0.3753  0.8753  0.0000  6 Pd 2.51-2.56, 3 Au 2.59-2.69
Cu  0.6247  0.1247  0.0000  6 Pd 2.51-2.56, 3 Au 2.59-2.69
Cu  0.8753  0.6247  0.0000  6 Pd 2.51-2.56, 3 Au 2.59-2.69
Pd  0.0000  0.5000  0.5000  4 Cu 2.51
Pd  0.0791  0.1953  0.5000  2 Cu 2.56, 4 Pd 2.67-2.86, 2 Fe 2.71
Pd  0.1953  0.9209  0.5000  2 Cu 2.56, 4 Pd 2.67-2.86, 2 Fe 2.71
Pd  0.3047  0.4209  0.5000  2 Cu 2.56, 4 Pd 2.67-2.86, 2 Fe 2.71
Pd  0.4209  0.6953  0.5000  2 Cu 2.56, 4 Pd 2.67-2.86, 2 Fe 2.71
Pd  0.5000  0.0000  0.5000  4 Cu 2.51
Pd  0.5791  0.3047  0.5000  2 Cu 2.56, 4 Pd 2.67-2.86, 2 Fe 2.71
Pd  0.6953  0.5791  0.5000  2 Cu 2.56, 4 Pd 2.67-2.86, 2 Fe 2.71
Pd  0.8047  0.0791  0.5000  2 Cu 2.56, 4 Pd 2.67-2.86, 2 Fe 2.71
Pd  0.9209  0.8047  0.5000  2 Cu 2.56, 4 Pd 2.67-2.86, 2 Fe 2.71
Au  0.1712  0.6712  0.0000  3 Cu 2.59-2.69
Au  0.3288  0.1712  0.0000  3 Cu 2.59-2.69
Au  0.6712  0.8288  0.0000  3 Cu 2.59-2.69
Au  0.8288  0.3288  0.0000  3 Cu 2.59-2.69